1.
This record from Alexandria via LeMat-Bulk describes an optimized crystal structure of BaB4Sb2O12. The functional is PBE.

Calculated total energy = -7.243 eV per atom
Density of states at the Fermi level = 0.00 states/eV/f.u.
Theoretical density = 4.4 g/cm3

Geometry as CIF:
```
data_BaB4Sb2O12
_chemical_formula_sum 'Ba4 B16 Sb8 O48'
_cell_length_a 7.029
_cell_length_b 11.973
_cell_length_c 11.385
_cell_angle_alpha 90.00
_cell_angle_beta 102.09
_cell_angle_gamma 90.00
_symmetry_space_group_name_H-M 'C 1 2/c 1'
_symmetry_Int_Tables_number 15
_symmetry_space_group_name_Hall '-C 2yc'
loop_
_atom_site_label
_atom_site_type_symbol
_atom_site_fract_x
_atom_site_fract_y
_atom_site_fract_z
Ba1 Ba 0.000 0.033 0.250
B1 B 0.117 0.471 0.390
B2 B 0.147 0.326 0.121
Sb1 Sb 0.000 0.309 0.750
Sb2 Sb 0.250 0.250 0.500
O1 O 0.029 0.237 0.085
O2 O 0.076 0.436 0.124
O3 O 0.155 0.183 0.839
O4 O 0.164 0.426 0.852
O5 O 0.195 0.319 0.648
O6 O 0.225 0.095 0.562
```

2.
This record from Alexandria via LeMat-Bulk describes an optimized crystal structure of BaScB2O6. The functional is PBE.

Calculated total energy = -7.829 eV per atom
Density of states at the Fermi level = 1.44 states/eV/f.u.
Theoretical density = 3.6 g/cm3

Geometry as CIF:
```
data_BaScB2O6
_chemical_formula_sum 'Ba4 Sc4 B8 O24'
_cell_length_a 8.669
_cell_length_b 9.739
_cell_length_c 6.935
_cell_angle_alpha 90.00
_cell_angle_beta 109.24
_cell_angle_gamma 90.00
_symmetry_space_group_name_H-M 'C 1 2/c 1'
_symmetry_Int_Tables_number 15
_symmetry_space_group_name_Hall '-C 2yc'
loop_
_atom_site_label
_atom_site_type_symbol
_atom_site_fract_x
_atom_site_fract_y
_atom_site_fract_z
Ba1 Ba 0.000 0.122 0.250
Sc1 Sc 0.000 0.313 0.750
B1 B 0.212 0.412 0.205
O1 O 0.099 0.329 0.068
O2 O 0.138 0.141 0.683
O3 O 0.179 0.452 0.728
```

3.
This record from Alexandria via LeMat-Bulk describes an optimized crystal structure of BaSc3B4O12. The functional is PBE.

Calculated total energy = -8.222 eV per atom
Density of states at the Fermi level = 9.69 states/eV/f.u.
Theoretical density = 3.5 g/cm3

Geometry as CIF:
```
data_BaSc3B4O12
_chemical_formula_sum 'Ba3 Sc9 B12 O36'
_cell_length_a 9.9645
_cell_length_b 9.9645
_cell_length_c 8.3671
_cell_angle_alpha 90.00
_cell_angle_beta 90.00
_cell_angle_gamma 120.00
_symmetry_space_group_name_H-M 'R 3 2'
_symmetry_Int_Tables_number 155
_symmetry_space_group_name_Hall 'R 3 2"'
loop_
_atom_site_label
_atom_site_type_symbol
_atom_site_fract_x
_atom_site_fract_y
_atom_site_fract_z
Ba1 Ba 0.0000 0.0000 0.0000
Sc1 Sc 0.0000 0.5534 0.0000
B1 B 0.0000 0.0000 0.5000
B2 B 0.0000 0.4442 0.5000
O1 O 0.0000 0.5846 0.5000
O2 O 0.0000 0.8604 0.5000
O3 O 0.0245 0.2230 0.1973
```

4.
This record from Alexandria via LeMat-Bulk describes an optimized crystal structure of Ba2Sc2B4O11. The functional is PBE.

Calculated total energy = -8.058 eV per atom
Density of states at the Fermi level = 0.00 states/eV/f.u.
Theoretical density = 4.0 g/cm3

Geometry as CIF:
```
data_Ba2Sc2B4O11
_chemical_formula_sum 'Ba8 Sc8 B16 O44'
_cell_length_a 16.181
_cell_length_b 9.472
_cell_length_c 6.421
_cell_angle_alpha 90.00
_cell_angle_beta 100.00
_cell_angle_gamma 90.00
_symmetry_space_group_name_H-M 'C 1 2/c 1'
_symmetry_Int_Tables_number 15
_symmetry_space_group_name_Hall '-C 2yc'
loop_
_atom_site_label
_atom_site_type_symbol
_atom_site_fract_x
_atom_site_fract_y
_atom_site_fract_z
Ba1 Ba 0.138 0.165 0.425
Sc1 Sc 0.000 0.500 0.000
Sc2 Sc 0.250 0.250 0.000
B1 B 0.050 0.171 0.912
B2 B 0.170 0.499 0.255
O1 O 0.000 0.087 0.750
O2 O 0.010 0.276 0.998
O3 O 0.087 0.486 0.294
O4 O 0.132 0.131 0.980
O5 O 0.202 0.369 0.735
O6 O 0.216 0.379 0.237
```

5.
This record from Alexandria via LeMat-Bulk describes an optimized crystal structure of BaSi2B2O8. The functional is PBE.

Calculated total energy = -7.829 eV per atom
Density of states at the Fermi level = 0.00 states/eV/f.u.
Theoretical density = 3.6 g/cm3

Geometry as CIF:
```
data_BaSi2B2O8
_chemical_formula_sum 'Ba4 Si8 B8 O32'
_cell_length_a 8.360
_cell_length_b 8.256
_cell_length_c 9.181
_cell_angle_alpha 90.00
_cell_angle_beta 90.00
_cell_angle_gamma 90.00
_symmetry_space_group_name_H-M 'P n m a'
_symmetry_Int_Tables_number 62
_symmetry_space_group_name_Hall '-P 2ac 2n'
loop_
_atom_site_label
_atom_site_type_symbol
_atom_site_fract_x
_atom_site_fract_y
_atom_site_fract_z
Ba1 Ba 0.106 0.250 0.080
Si1 Si 0.075 0.065 0.689
B1 B 0.225 0.085 0.409
O1 O 0.004 0.250 0.689
O2 O 0.071 0.064 0.332
O3 O 0.149 0.029 0.851
O4 O 0.213 0.040 0.565
O5 O 0.216 0.750 0.883
```

6.
This record from Alexandria via LeMat-Bulk describes an optimized crystal structure of Ba3Si2B6O16. The functional is PBE.

Calculated total energy = -7.775 eV per atom
Density of states at the Fermi level = 0.00 states/eV/f.u.
Theoretical density = 4.1 g/cm3

Geometry as CIF:
```
data_Ba3Si2B6O16
_chemical_formula_sum 'Ba3 Si2 B6 O16'
_cell_length_a 5.086
_cell_length_b 7.697
_cell_length_c 8.647
_cell_angle_alpha 77.20
_cell_angle_beta 77.78
_cell_angle_gamma 87.54
_symmetry_space_group_name_H-M 'P -1'
_symmetry_Int_Tables_number 2
_symmetry_space_group_name_Hall '-P 1'
loop_
_atom_site_label
_atom_site_type_symbol
_atom_site_fract_x
_atom_site_fract_y
_atom_site_fract_z
Ba1 Ba 0.000 0.000 0.000
Ba2 Ba 0.116 0.581 0.736
Si1 Si 0.266 0.176 0.560
B1 B 0.308 0.762 0.297
B2 B 0.472 0.301 0.975
B3 B 0.476 0.090 0.255
O1 O 0.020 0.724 0.388
O2 O 0.205 0.325 0.992
O3 O 0.282 0.975 0.673
O4 O 0.289 0.181 0.368
O5 O 0.349 0.646 0.177
O6 O 0.353 0.947 0.210
O7 O 0.406 0.776 0.895
O8 O 0.488 0.706 0.416
```

7.
This record from Alexandria via LeMat-Bulk describes an optimized crystal structure of BaSmBO4. The functional is PBE.

Calculated total energy = -7.689 eV per atom
Density of states at the Fermi level = 0.00 states/eV/f.u.
Theoretical density = 6.2 g/cm3

Geometry as CIF:
```
data_BaSmBO4
_chemical_formula_sum 'Ba2 Sm2 B2 O8'
_cell_length_a 5.150
_cell_length_b 5.446
_cell_length_c 7.307
_cell_angle_alpha 90.00
_cell_angle_beta 109.38
_cell_angle_gamma 90.00
_symmetry_space_group_name_H-M 'P 1 21/m 1'
_symmetry_Int_Tables_number 11
_symmetry_space_group_name_Hall '-P 2yb'
loop_
_atom_site_label
_atom_site_type_symbol
_atom_site_fract_x
_atom_site_fract_y
_atom_site_fract_z
Ba1 Ba 0.194 0.250 0.419
Sm1 Sm 0.283 0.250 0.965
B1 B 0.297 0.750 0.190
O1 O 0.113 0.750 0.310
O2 O 0.137 0.750 0.972
O3 O 0.480 0.527 0.228
```

8.
This record from Alexandria via LeMat-Bulk describes an optimized crystal structure of BaSmB2O6. The functional is PBE.

Calculated total energy = -7.693 eV per atom
Density of states at the Fermi level = 4.24 states/eV/f.u.
Theoretical density = 4.7 g/cm3

Geometry as CIF:
```
data_BaSmB2O6
_chemical_formula_sum 'Ba4 Sm4 B8 O24'
_cell_length_a 8.512
_cell_length_b 10.148
_cell_length_c 7.082
_cell_angle_alpha 90.00
_cell_angle_beta 110.46
_cell_angle_gamma 90.00
_symmetry_space_group_name_H-M 'C 1 2/c 1'
_symmetry_Int_Tables_number 15
_symmetry_space_group_name_Hall '-C 2yc'
loop_
_atom_site_label
_atom_site_type_symbol
_atom_site_fract_x
_atom_site_fract_y
_atom_site_fract_z
Ba1 Ba 0.000 0.138 0.250
Sm1 Sm 0.000 0.411 0.750
B1 B 0.242 0.375 0.257
O1 O 0.088 0.384 0.102
O2 O 0.174 0.242 0.702
O3 O 0.206 0.016 0.623
```

9.
This record from Alexandria via LeMat-Bulk describes an optimized crystal structure of Ba2SnB2O6. The functional is PBE.

Calculated total energy = -7.014 eV per atom
Density of states at the Fermi level = 0.00 states/eV/f.u.
Theoretical density = 5.0 g/cm3

Geometry as CIF:
```
data_Ba2SnB2O6
_chemical_formula_sum 'Ba6 Sn3 B6 O18'
_cell_length_a 5.5533
_cell_length_b 5.5533
_cell_length_c 19.0758
_cell_angle_alpha 90.00
_cell_angle_beta 90.00
_cell_angle_gamma 120.00
_symmetry_space_group_name_H-M 'R -3 m'
_symmetry_Int_Tables_number 166
_symmetry_space_group_name_Hall '-R 3 2"'
loop_
_atom_site_label
_atom_site_type_symbol
_atom_site_fract_x
_atom_site_fract_y
_atom_site_fract_z
Ba1 Ba 0.0000 0.0000 0.2135
Sn1 Sn 0.0000 0.0000 0.0000
B1 B 0.0000 0.0000 0.4228
O1 O 0.0426 0.5213 0.2433
```

10.
This record from Alexandria via LeMat-Bulk describes an optimized crystal structure of BaTaBO5. The functional is PBE.

Calculated total energy = -8.290 eV per atom
Density of states at the Fermi level = 0.00 states/eV/f.u.
Theoretical density = 6.6 g/cm3

Geometry as CIF:
```
data_BaTaBO5
_chemical_formula_sum 'Ba4 Ta4 B4 O20'
_cell_length_a 6.799
_cell_length_b 8.952
_cell_length_c 7.433
_cell_angle_alpha 90.00
_cell_angle_beta 114.88
_cell_angle_gamma 90.00
_symmetry_space_group_name_H-M 'C 1 2/c 1'
_symmetry_Int_Tables_number 15
_symmetry_space_group_name_Hall '-C 2yc'
loop_
_atom_site_label
_atom_site_type_symbol
_atom_site_fract_x
_atom_site_fract_y
_atom_site_fract_z
Ba1 Ba 0.000 0.160 0.250
Ta1 Ta 0.000 0.500 0.000
B1 B 0.000 0.191 0.750
O1 O 0.000 0.440 0.250
O2 O 0.074 0.291 0.622
O3 O 0.190 0.089 0.883
```

11.
This record from Alexandria via LeMat-Bulk describes an optimized crystal structure of Ba3TbB2O8. The functional is PBE.

Calculated total energy = -7.228 eV per atom
Density of states at the Fermi level = 5.65 states/eV/f.u.
Theoretical density = 5.9 g/cm3

Geometry as CIF:
```
data_Ba3TbB2O8
_chemical_formula_sum 'Ba3 Tb1 B2 O8'
_cell_length_a 5.6337
_cell_length_b 5.6337
_cell_length_c 7.3539
_cell_angle_alpha 90.00
_cell_angle_beta 90.00
_cell_angle_gamma 120.00
_symmetry_space_group_name_H-M 'P -3 m 1'
_symmetry_Int_Tables_number 164
_symmetry_space_group_name_Hall '-P 3 2"'
loop_
_atom_site_label
_atom_site_type_symbol
_atom_site_fract_x
_atom_site_fract_y
_atom_site_fract_z
Ba1 Ba 0.0000 0.0000 0.0000
Ba2 Ba 0.3333 0.6667 0.6943
Tb1 Tb 0.0000 0.0000 0.5000
B1 B 0.3333 0.6667 0.2479
O1 O 0.1874 0.3748 0.3181
O2 O 0.3333 0.6667 0.0490
```

12.
This record from Alexandria via LeMat-Bulk describes an optimized crystal structure of BaTbB2O6. The functional is PBE.

Calculated total energy = -7.699 eV per atom
Density of states at the Fermi level = 4.15 states/eV/f.u.
Theoretical density = 4.9 g/cm3

Geometry as CIF:
```
data_BaTbB2O6
_chemical_formula_sum 'Ba4 Tb4 B8 O24'
_cell_length_a 8.428
_cell_length_b 10.050
_cell_length_c 7.000
_cell_angle_alpha 90.00
_cell_angle_beta 110.18
_cell_angle_gamma 90.00
_symmetry_space_group_name_H-M 'C 1 2/c 1'
_symmetry_Int_Tables_number 15
_symmetry_space_group_name_Hall '-C 2yc'
loop_
_atom_site_label
_atom_site_type_symbol
_atom_site_fract_x
_atom_site_fract_y
_atom_site_fract_z
Ba1 Ba 0.000 0.137 0.250
Tb1 Tb 0.000 0.412 0.750
B1 B 0.240 0.374 0.252
O1 O 0.084 0.384 0.097
O2 O 0.174 0.244 0.711
O3 O 0.209 0.017 0.624
```

13.
This record from Alexandria via LeMat-Bulk describes an optimized crystal structure of BaTb3B4O12. The functional is PBE.

Calculated total energy = -8.016 eV per atom
Density of states at the Fermi level = 10.53 states/eV/f.u.
Theoretical density = 5.1 g/cm3

Geometry as CIF:
```
data_BaTb3B4O12
_chemical_formula_sum 'Ba3 Tb9 B12 O36'
_cell_length_a 10.3537
_cell_length_b 10.3537
_cell_length_c 8.9419
_cell_angle_alpha 90.00
_cell_angle_beta 90.00
_cell_angle_gamma 120.00
_symmetry_space_group_name_H-M 'R 3 2'
_symmetry_Int_Tables_number 155
_symmetry_space_group_name_Hall 'R 3 2"'
loop_
_atom_site_label
_atom_site_type_symbol
_atom_site_fract_x
_atom_site_fract_y
_atom_site_fract_z
Ba1 Ba 0.0000 0.0000 0.0000
Tb1 Tb 0.0000 0.5437 0.0000
B1 B 0.0000 0.0000 0.5000
B2 B 0.0000 0.4555 0.5000
O1 O 0.0000 0.5902 0.5000
O2 O 0.0000 0.8656 0.5000
O3 O 0.0087 0.2104 0.1896
```

14.
This record from Alexandria via LeMat-Bulk describes an optimized crystal structure of BaTc2BO8. The functional is PBE.

Calculated total energy = -7.237 eV per atom
Density of states at the Fermi level = 3.83 states/eV/f.u.
Theoretical density = 4.5 g/cm3

Geometry as CIF:
```
data_BaTc2BO8
_chemical_formula_sum 'Ba2 Tc4 B2 O16'
_cell_length_a 11.144
_cell_length_b 4.833
_cell_length_c 7.100
_cell_angle_alpha 90.00
_cell_angle_beta 114.89
_cell_angle_gamma 90.00
_symmetry_space_group_name_H-M 'C 1 2/m 1'
_symmetry_Int_Tables_number 12
_symmetry_space_group_name_Hall '-C 2y'
loop_
_atom_site_label
_atom_site_type_symbol
_atom_site_fract_x
_atom_site_fract_y
_atom_site_fract_z
Ba1 Ba 0.000 0.000 0.000
Tc1 Tc 0.192 0.000 0.646
B1 B 0.000 0.500 0.500
O1 O 0.079 0.277 0.664
O2 O 0.154 0.500 0.133
O3 O 0.196 0.000 0.396
```